Version A
First-principles (GGA-PBE) data for crystalline Pm7Pr4Y at its relaxed geometry, as listed in the Alexandria database.

- Total magnetic moment: 0.00 μB/f.u.

a = 6.3957 Å, b = 7.3726 Å, c = 9.1732 Å
α = 89.92°, β = 76.42°, γ = 89.94°
Space group P-1 (No. 2)
Unique sites:
Pm  0.0000  0.0000  0.0000 x1
Pm  0.2189  0.5003  0.3314 x2
Pm  0.2797  0.2517  0.6705 x2
Pm  0.4996  0.2513  0.9995 x2
Pr  0.2211  0.0002  0.3308 x2
Pr  0.2810  0.7483  0.6693 x2
Y  0.0000  0.5000  0.0000 x1


Version B
First-principles (GGA-PBE) data for crystalline Pm7Pr4Y at its relaxed geometry, as listed in the Alexandria database.

- Total magnetic moment: 0.00 μB/f.u.

a = 12.2406 Å, b = 6.1151 Å, c = 13.0121 Å
α = 90.00°, β = 117.56°, γ = 90.00°
Space group C2/m (No. 12)
Unique sites:
Pm  0.0000  0.0000  0.0000 x2
Pm  0.1331  0.5000  0.5021 x4
Pm  0.2091  0.0000  0.9223 x4
Pm  0.2503  0.0000  0.6840 x4
Pr  0.0590  0.0000  0.3283 x4
Pr  0.1373  0.5000  0.7780 x4
Y  0.0000  0.5000  0.0000 x2


Which of them is the least stable? Correct choice: version B.


Version A
First-principles (GGA-PBE) data for crystalline Pm2Pr8Y3 at its relaxed geometry, as listed in the Alexandria database.

- Total magnetic moment: 0.00 μB/f.u.

a = 6.3609 Å, b = 8.2252 Å, c = 9.7157 Å
α = 94.85°, β = 109.02°, γ = 105.15°
Space group P-1 (No. 2)
Unique sites:
Pm  0.1907  0.3846  0.4600 x2
Pr  0.0408  0.0771  0.6943 x2
Pr  0.2700  0.5407  0.8471 x2
Pr  0.3453  0.6915  0.2295 x2
Pr  0.4250  0.8457  0.6170 x2
Y  0.1143  0.2279  0.0761 x2
Y  0.5000  0.0000  0.0000 x1


Version B
First-principles (GGA-PBE) data for crystalline Pm2Pr8Y3 at its relaxed geometry, as listed in the Alexandria database.

- Total magnetic moment: 0.00 μB/f.u.

a = 7.7745 Å, b = 5.7923 Å, c = 11.1172 Å
α = 90.00°, β = 110.43°, γ = 90.00°
Space group P2/m (No. 10)
Unique sites:
Pm  0.2410  0.0000  0.4805 x2
Pr  0.1315  0.5000  0.2630 x2
Pr  0.1907  0.0000  0.7906 x2
Pr  0.3282  0.5000  0.6554 x2
Pr  0.4007  0.0000  0.2089 x2
Y  0.0000  0.0000  0.0000 x1
Y  0.2837  0.5000  0.9998 x2


Which of them is the least stable? Correct choice: version B.


Version A
First-principles (GGA-PBE) data for crystalline PmPr4Y3 at its relaxed geometry, as listed in the Alexandria database.

- Total magnetic moment: 0.00 μB/f.u.

a = 11.7783 Å, b = 7.4010 Å, c = 6.3890 Å
α = 90.00°, β = 90.00°, γ = 90.00°
Space group Pmn2_1 (No. 31)
Unique sites:
Pm  0.0000  0.1253  0.0000 x2
Pr  0.0000  0.3720  0.5053 x2
Pr  0.0000  0.6281  0.9974 x2
Pr  0.2473  0.6255  0.3331 x4
Y  0.0000  0.8789  0.4986 x2
Y  0.2502  0.1216  0.3333 x4


Version B
First-principles (GGA-PBE) data for crystalline PmPr4Y3 at its relaxed geometry, as listed in the Alexandria database.

- Total magnetic moment: 0.00 μB/f.u.

a = 10.3437 Å, b = 7.2960 Å, c = 7.2989 Å
α = 90.00°, β = 90.00°, γ = 90.00°
Space group Pmna (No. 53)
Unique sites:
Pm  0.0000  0.0000  0.0000 x2
Pr  0.0000  0.0000  0.5000 x2
Pr  0.0000  0.5000  0.0000 x2
Pr  0.2500  0.2503  0.2500 x4
Y  0.0000  0.5000  0.5000 x2
Y  0.2500  0.2515  0.7500 x4


Which of them is the least stable? Correct choice: version A.


Version A
First-principles (GGA-PBE) data for crystalline PmPr7Y2 at its relaxed geometry, as listed in the Alexandria database.

- Total magnetic moment: 0.00 μB/f.u.

a = 8.7597 Å, b = 17.2645 Å, c = 5.6534 Å
α = 90.00°, β = 90.00°, γ = 90.00°
Space group Cmmm (No. 65)
Unique sites:
Pm  0.0000  0.0000  0.0000 x2
Pr  0.0000  0.2106  0.0000 x4
Pr  0.0000  0.5000  0.5000 x2
Pr  0.1795  0.1107  0.5000 x8
Y  0.0000  0.2920  0.5000 x4


Version B
First-principles (GGA-PBE) data for crystalline PmPr7Y2 at its relaxed geometry, as listed in the Alexandria database.

- Total magnetic moment: 0.00 μB/f.u.

a = 6.7266 Å, b = 30.2146 Å, c = 3.4898 Å
α = 90.00°, β = 90.00°, γ = 90.00°
Space group Cmmm (No. 65)
Unique sites:
Pm  0.0000  0.0000  0.0000 x2
Pr  0.0000  0.3093  0.0000 x4
Pr  0.0000  0.5000  0.5000 x2
Pr  0.2435  0.1008  0.5000 x8
Y  0.0000  0.2069  0.5000 x4


Which of them is the least stable? Correct choice: version A.